VASP calculation (PBE-GGA) on crystalline KMg3B at its relaxed geometry.

Output
total moment	1.799	μB per cell
polymorph energy (0 for the lowest one)	1537	meV per atom
calculated volume	55.0	A^3/atom
space group	No. 221
energy relative to the elements	1940	meV per atom
total DFT energy (no corrections)	-0.572	eV/atom

abc: 6.504 6.504 6.504
angles: 90.00 90.00 90.00
Fractional positions:
K (0.000, 0.000, 0.000)
B (0.500, 0.500, 0.500)
Mg (0.000, 0.500, 0.000)
Mg (0.000, 0.000, 0.500)
Mg (0.500, 0.000, 0.000)